Record 1
The following is a PBE calculation of an optimized crystal structure of NdTm3Ni8, from the Alexandria database.

a b c (Å): 8.7823 8.7823 8.7823
angles (deg): 33.45 33.45 33.45
Element x y z (fractional)
Nd1 0.0000 0.0000 0.0000
Tm1 0.1256 0.1256 0.1256
Tm2 0.4995 0.4995 0.4995
Tm3 0.6235 0.6235 0.6235
Ni1 0.0626 0.0626 0.5575
Ni2 0.0626 0.5575 0.0626
Ni3 0.0646 0.5636 0.5636
Ni4 0.3118 0.3118 0.3118
Ni5 0.5575 0.0626 0.0626
Ni6 0.5636 0.0646 0.5636
Ni7 0.5636 0.5636 0.0646
Ni8 0.8123 0.8123 0.8123

* polymorph energy (0 for the lowest one): 0 meV per atom
* space group: R3m (160)
* calculated density: 10155 kg/m3
* energy: -5.817 eV per atom
* formation energy: -0.4479 eV per atom
* spin magnetization: 0.0 μB/f.u.



Record 2
The following is a PBE calculation of an optimized crystal structure of Nd3TmNi, from the Alexandria database.

a b c (Å): 5.4595 5.4595 5.4595
angles (deg): 90.00 90.00 90.00
Element x y z (fractional)
Nd1 0.0000 0.0000 0.5000
Nd2 0.0000 0.5000 0.0000
Nd3 0.5000 0.0000 0.0000
Tm1 0.5000 0.5000 0.5000
Ni1 0.0000 0.0000 0.0000

* space group: Pm-3m (221)
* calculated density: 6738 kg/m3
* energy: -4.835 eV per atom
* formation energy: 0.0758 eV per atom
* spin magnetization: 0.9 μB/f.u.



Record 3
The following is a PBE calculation of an optimized crystal structure of NdTmNi10, from the Alexandria database.

a b c (Å): 3.9602 4.9043 8.4904
angles (deg): 90.00 90.00 90.00
Element x y z (fractional)
Nd1 0.0000 0.0000 0.0000
Tm1 0.0000 0.5000 0.5000
Ni1 0.0000 0.0000 0.3385
Ni2 0.0000 0.0000 0.6615
Ni3 0.0000 0.5000 0.1726
Ni4 0.0000 0.5000 0.8274
Ni5 0.5000 0.0000 0.5000
Ni6 0.5000 0.2526 0.2549
Ni7 0.5000 0.2526 0.7451
Ni8 0.5000 0.5000 0.0000
Ni9 0.5000 0.7474 0.2549
Ni10 0.5000 0.7474 0.7451

* space group: Pmmm (47)
* calculated density: 9064 kg/m3
* energy: -5.894 eV per atom
* formation energy: -0.3061 eV per atom
* spin magnetization: 2.9 μB/f.u.



Record 4
The following is a PBE calculation of an optimized crystal structure of NdTmNi, from the Alexandria database.

a b c (Å): 5.7470 5.7470 5.7160
angles (deg): 116.60 116.60 67.85
Element x y z (fractional)
Nd1 0.0000 0.5000 0.0000
Nd2 0.5000 0.0000 0.0000
Tm1 0.1257 0.1257 0.3844
Tm2 0.8743 0.8743 0.6156
Ni1 0.4414 0.4414 0.6424
Ni2 0.5586 0.5586 0.3576

* polymorph energy (0 for the lowest one): 328 meV per atom
* space group: C2/m (12)
* calculated density: 8389 kg/m3
* energy: -4.945 eV per atom
* formation energy: 0.0620 eV per atom
* spin magnetization: 0.0 μB/f.u.



Record 5
The following is a PBE calculation of an optimized crystal structure of Nd2Tm3Ni2, from the Alexandria database.

a b c (Å): 6.4108 6.4108 9.0218
angles (deg): 116.25 116.25 32.47
Element x y z (fractional)
Nd1 0.1638 0.1638 0.3092
Nd2 0.8362 0.8362 0.6908
Tm1 0.3823 0.3823 0.0669
Tm2 0.5000 0.5000 0.5000
Tm3 0.6177 0.6177 0.9331
Ni1 0.1675 0.1675 0.7415
Ni2 0.8325 0.8325 0.2585

* space group: C2/m (12)
* calculated density: 8579 kg/m3
* energy: -5.186 eV per atom
* formation energy: -0.2551 eV per atom
* spin magnetization: 0.0 μB/f.u.



Record 6
The following is a PBE calculation of an optimized crystal structure of NdTmNi4, from the Alexandria database.

a b c (Å): 5.0986 5.0986 5.0986
angles (deg): 60.00 60.00 60.00
Element x y z (fractional)
Nd1 0.0000 0.0000 0.0000
Tm1 0.2500 0.2500 0.2500
Ni1 0.1281 0.6240 0.6240
Ni2 0.6240 0.1281 0.6240
Ni3 0.6240 0.6240 0.1281
Ni4 0.6240 0.6240 0.6240

* space group: F-43m (216)
* calculated density: 9709 kg/m3
* energy: -5.795 eV per atom
* formation energy: -0.4009 eV per atom
* spin magnetization: 0.0 μB/f.u.



Record 7
The following is a PBE calculation of an optimized crystal structure of NdTm2Ni9, from the Alexandria database.

a b c (Å): 8.5647 8.5647 8.5647
angles (deg): 33.82 33.82 33.82
Element x y z (fractional)
Nd1 0.0000 0.0000 0.0000
Tm1 0.1402 0.1402 0.1402
Tm2 0.8598 0.8598 0.8598
Ni1 0.0819 0.5847 0.5847
Ni2 0.3331 0.3331 0.3331
Ni3 0.4153 0.4153 0.9181
Ni4 0.4153 0.9181 0.4153
Ni5 0.5000 0.5000 0.5000
Ni6 0.5847 0.0819 0.5847
Ni7 0.5847 0.5847 0.0819
Ni8 0.6669 0.6669 0.6669
Ni9 0.9181 0.4153 0.4153

* space group: R-3m (166)
* calculated density: 9672 kg/m3
* energy: -5.891 eV per atom
* formation energy: -0.4128 eV per atom
* spin magnetization: 0.7 μB/f.u.



Record 8
The following is a PBE calculation of an optimized crystal structure of NdTm3Ni8, from the Alexandria database.

a b c (Å): 5.0751 5.0751 8.2676
angles (deg): 90.00 90.00 120.00
Element x y z (fractional)
Nd1 0.0000 0.0000 0.0000
Tm1 0.0000 0.0000 0.3762
Tm2 0.6667 0.3333 0.4965
Tm3 0.6667 0.3333 0.8673
Ni1 0.9998 0.4999 0.1892
Ni2 0.1680 0.3359 0.6807
Ni3 0.1680 0.8320 0.6807
Ni4 0.3333 0.6667 0.4331
Ni5 0.3333 0.6667 0.9329
Ni6 0.5001 0.0002 0.1892
Ni7 0.5001 0.4999 0.1892
Ni8 0.6641 0.8320 0.6807

* polymorph energy (0 for the lowest one): 25 meV per atom
* space group: P3m1 (156)
* calculated density: 10090 kg/m3
* energy: -5.793 eV per atom
* formation energy: -0.4232 eV per atom
* spin magnetization: 0.0 μB/f.u.



Record 9
The following is a PBE calculation of an optimized crystal structure of NdTmNi, from the Alexandria database.

a b c (Å): 4.7897 4.7897 4.7897
angles (deg): 60.00 60.00 60.00
Element x y z (fractional)
Nd1 0.0000 0.0000 0.0000
Tm1 0.5000 0.5000 0.5000
Ni1 0.2500 0.2500 0.2500

* polymorph energy (0 for the lowest one): 141 meV per atom
* space group: F-43m (216)
* calculated density: 7947 kg/m3
* energy: -5.132 eV per atom
* formation energy: -0.1255 eV per atom
* spin magnetization: 0.0 μB/f.u.



Record 10
The following is a PBE calculation of an optimized crystal structure of NdTmNi, from the Alexandria database.

a b c (Å): 7.0481 4.8577 8.4384
angles (deg): 90.00 90.00 90.00
Element x y z (fractional)
Nd1 0.0219 0.2500 0.1695
Nd2 0.4781 0.7500 0.6695
Nd3 0.5219 0.2500 0.3305
Nd4 0.9781 0.7500 0.8305
Tm1 0.1371 0.2500 0.5848
Tm2 0.3629 0.7500 0.0848
Tm3 0.6371 0.2500 0.9152
Tm4 0.8629 0.7500 0.4152
Ni1 0.2437 0.7500 0.4149
Ni2 0.2563 0.2500 0.9149
Ni3 0.7437 0.7500 0.0851
Ni4 0.7563 0.2500 0.5851

* polymorph energy (0 for the lowest one): 0 meV per atom
* space group: Pnma (62)
* calculated density: 8549 kg/m3
* energy: -5.273 eV per atom
* formation energy: -0.2660 eV per atom
* spin magnetization: 0.0 μB/f.u.



Record 11
The following is a PBE calculation of an optimized crystal structure of NdTmNi, from the Alexandria database.

a b c (Å): 6.7041 6.7041 6.7041
angles (deg): 150.31 150.31 42.48
Element x y z (fractional)
Nd1 0.0000 0.0000 0.0000
Tm1 0.2641 0.2641 0.0000
Ni1 0.6481 0.6481 0.0000

* polymorph energy (0 for the lowest one): 57 meV per atom
* space group: I4mm (107)
* calculated density: 8377 kg/m3
* energy: -5.216 eV per atom
* formation energy: -0.2087 eV per atom
* spin magnetization: 0.0 μB/f.u.



Record 12
The following is a PBE calculation of an optimized crystal structure of NdTmNi3, from the Alexandria database.

a b c (Å): 12.1946 12.1946 3.9937
angles (deg): 90.00 90.00 161.51
Element x y z (fractional)
Nd1 0.0730 0.9270 0.7500
Nd2 0.9270 0.0730 0.2500
Tm1 0.2051 0.7949 0.2500
Tm2 0.7949 0.2051 0.7500
Ni1 0.3222 0.6778 0.2500
Ni2 0.3765 0.6235 0.7500
Ni3 0.4743 0.5257 0.7500
Ni4 0.5257 0.4743 0.2500
Ni5 0.6235 0.3765 0.2500
Ni6 0.6778 0.3222 0.7500

* space group: Cmcm (63)
* calculated density: 8628 kg/m3
* energy: -5.710 eV per atom
* formation energy: -0.3936 eV per atom
* spin magnetization: 0.0 μB/f.u.



Record 13
The following is a PBE calculation of an optimized crystal structure of NdTm3Ni, from the Alexandria database.

a b c (Å): 7.9217 7.2112 9.8272
angles (deg): 90.00 107.37 90.00
Element x y z (fractional)
Nd1 0.1805 0.0436 0.2571
Nd2 0.1805 0.4564 0.7571
Nd3 0.8195 0.5436 0.2429
Nd4 0.8195 0.9564 0.7429
Tm1 0.0728 0.7060 0.0304
Tm2 0.0728 0.7940 0.5304
Tm3 0.2879 0.5097 0.3831
Tm4 0.2879 0.9903 0.8831
Tm5 0.4187 0.1294 0.6091
Tm6 0.4187 0.3706 0.1091
Tm7 0.5813 0.6294 0.8909
Tm8 0.5813 0.8706 0.3909
Tm9 0.7121 0.0097 0.1169
Tm10 0.7121 0.4903 0.6169
Tm11 0.9272 0.2060 0.4696
Tm12 0.9272 0.2940 0.9696
Ni1 0.4368 0.7449 0.6036
Ni2 0.4368 0.7551 0.1036
Ni3 0.5632 0.2449 0.8964
Ni4 0.5632 0.2551 0.3964

* polymorph energy (0 for the lowest one): 0 meV per atom
* space group: P2_1/c (14)
* calculated density: 8799 kg/m3
* energy: -4.916 eV per atom
* formation energy: -0.1230 eV per atom
* spin magnetization: 0.0 μB/f.u.



Record 14
The following is a PBE calculation of an optimized crystal structure of NdTm12Ni6, from the Alexandria database.

a b c (Å): 8.4140 8.4140 8.4140
angles (deg): 109.47 109.47 109.47
Element x y z (fractional)
Nd1 0.0000 0.0000 0.0000
Tm1 0.1262 0.8156 0.3106
Tm2 0.1844 0.3106 0.4950
Tm3 0.1844 0.6894 0.8738
Tm4 0.3106 0.1262 0.8156
Tm5 0.3106 0.4950 0.1844
Tm6 0.4950 0.1844 0.3106
Tm7 0.5050 0.8156 0.6894
Tm8 0.6894 0.5050 0.8156
Tm9 0.6894 0.8738 0.1844
Tm10 0.8156 0.3106 0.1262
Tm11 0.8156 0.6894 0.5050
Tm12 0.8738 0.1844 0.6894
Ni1 0.1241 0.6241 0.5000
Ni2 0.3759 0.5000 0.8759
Ni3 0.5000 0.1241 0.6241
Ni4 0.5000 0.8759 0.3759
Ni5 0.6241 0.5000 0.1241
Ni6 0.8759 0.3759 0.5000

* space group: Im-3 (204)
* calculated density: 9139 kg/m3
* energy: -5.165 eV per atom
* formation energy: -0.2643 eV per atom
* spin magnetization: 0.0 μB/f.u.



Record 15
The following is a PBE calculation of an optimized crystal structure of NdTm3Ni, from the Alexandria database.

a b c (Å): 5.2610 5.2610 5.2610
angles (deg): 90.00 90.00 90.00
Element x y z (fractional)
Nd1 0.0000 0.0000 0.0000
Tm1 0.0000 0.5000 0.5000
Tm2 0.5000 0.0000 0.5000
Tm3 0.5000 0.5000 0.0000
Ni1 0.5000 0.5000 0.5000

* polymorph energy (0 for the lowest one): 16 meV per atom
* space group: Pm-3m (221)
* calculated density: 8094 kg/m3
* energy: -4.900 eV per atom
* formation energy: -0.1073 eV per atom
* spin magnetization: 0.0 μB/f.u.



Record 16
The following is a PBE calculation of an optimized crystal structure of NdTm6Ni2, from the Alexandria database.

a b c (Å): 8.4629 8.4629 8.4629
angles (deg): 115.39 106.62 106.57
Element x y z (fractional)
Nd1 0.0000 0.0000 0.0000
Nd2 0.5000 0.5000 0.0000
Tm1 0.9995 0.2231 0.7765
Tm2 0.0005 0.7769 0.2235
Tm3 0.1933 0.3028 0.4961
Tm4 0.1933 0.6972 0.8904
Tm5 0.3089 0.0072 0.6984
Tm6 0.3089 0.6105 0.3016
Tm7 0.4466 0.2231 0.2235
Tm8 0.5534 0.7769 0.7765
Tm9 0.6911 0.3895 0.6984
Tm10 0.6911 0.9928 0.3016
Tm11 0.8067 0.3028 0.1096
Tm12 0.8067 0.6972 0.5039
Ni1 0.1193 0.6193 0.5000
Ni2 0.3747 0.0000 0.3747
Ni3 0.6253 0.0000 0.6253
Ni4 0.8807 0.3807 0.5000

* space group: Immm (71)
* calculated density: 9151 kg/m3
* energy: -4.936 eV per atom
* formation energy: -0.1405 eV per atom
* spin magnetization: 0.0 μB/f.u.



Record 17
The following is a PBE calculation of an optimized crystal structure of NdTmNi, from the Alexandria database.

a b c (Å): 3.7015 6.3242 6.9781
angles (deg): 95.37 105.36 107.01
Element x y z (fractional)
Nd1 0.0866 0.2529 0.4212
Nd2 0.9134 0.7471 0.5788
Tm1 0.1976 0.7822 0.1130
Tm2 0.8024 0.2178 0.8870
Ni1 0.4539 0.5754 0.8321
Ni2 0.5461 0.4246 0.1679

* polymorph energy (0 for the lowest one): 6 meV per atom
* space group: P-1 (2)
* calculated density: 8344 kg/m3
* energy: -5.267 eV per atom
* formation energy: -0.2601 eV per atom
* spin magnetization: 0.0 μB/f.u.



Record 18
The following is a PBE calculation of an optimized crystal structure of NdTmNi, from the Alexandria database.

a b c (Å): 4.5181 4.5181 4.2039
angles (deg): 90.00 90.00 120.00
Element x y z (fractional)
Nd1 0.0000 0.0000 0.0000
Tm1 0.6667 0.3333 0.4913
Ni1 0.3333 0.6667 0.6604

* polymorph energy (0 for the lowest one): 196 meV per atom
* space group: P3m1 (156)
* calculated density: 8309 kg/m3
* energy: -5.077 eV per atom
* formation energy: -0.0703 eV per atom
* spin magnetization: 0.0 μB/f.u.



Record 19
The following is a PBE calculation of an optimized crystal structure of Nd3TmNi8, from the Alexandria database.

a b c (Å): 8.9133 8.9133 8.9133
angles (deg): 33.46 33.46 33.46
Element x y z (fractional)
Nd1 0.0000 0.0000 0.0000
Nd2 0.1254 0.1254 0.1254
Nd3 0.6237 0.6237 0.6237
Tm1 0.4993 0.4993 0.4993
Ni1 0.0606 0.0606 0.5605
Ni2 0.0606 0.5605 0.0606
Ni3 0.0666 0.5620 0.5620
Ni4 0.3121 0.3121 0.3121
Ni5 0.5605 0.0606 0.0606
Ni6 0.5620 0.0666 0.5620
Ni7 0.5620 0.5620 0.0666
Ni8 0.8126 0.8126 0.8126

* space group: R3m (160)
* calculated density: 9279 kg/m3
* energy: -5.773 eV per atom
* formation energy: -0.3544 eV per atom
* spin magnetization: 0.0 μB/f.u.



Record 20
The following is a PBE calculation of an optimized crystal structure of Nd2TmZn12Ni3, from the Alexandria database.

a b c (Å): 9.3104 9.3104 9.3104
angles (deg): 44.98 44.98 44.98
Element x y z (fractional)
Nd1 0.1271 0.1271 0.1271
Nd2 0.8729 0.8729 0.8729
Tm1 0.5000 0.5000 0.5000
Zn1 0.0071 0.6458 0.6458
Zn2 0.2523 0.2523 0.6597
Zn3 0.2523 0.6597 0.2523
Zn4 0.3403 0.7477 0.7477
Zn5 0.3542 0.3542 0.9929
Zn6 0.3542 0.9929 0.3542
Zn7 0.6458 0.0071 0.6458
Zn8 0.6458 0.6458 0.0071
Zn9 0.6597 0.2523 0.2523
Zn10 0.7477 0.3403 0.7477
Zn11 0.7477 0.7477 0.3403
Zn12 0.9929 0.3542 0.3542
Ni1 0.0000 0.5000 0.5000
Ni2 0.5000 0.0000 0.5000
Ni3 0.5000 0.5000 0.0000

* space group: R-3m (166)
* calculated density: 6418 kg/m3
* energy: -2.512 eV per atom
* formation energy: 0.0792 eV per atom
* spin magnetization: 0.0 μB/f.u.